# DyInSO2, relaxed, DFT PBE
# DOS at the Fermi energy in states/eV per cell: 0.00
# E_tot in eV per atom: -6.430
# V in Å³/atom: 18.2
# SG: P2_1/m (11)
data_DyInSO2
_chemical_formula_sum 'Dy2 In2 S2 O4'
_cell_length_a 4.0777
_cell_length_b 6.7301
_cell_length_c 7.5313
_cell_angle_alpha 118.39
_cell_angle_beta 90.00
_cell_angle_gamma 90.00
_symmetry_space_group_name_H-M 'P 1'
_symmetry_Int_Tables_number 1
_symmetry_space_group_name_Hall 'P 1'
loop_
_atom_site_label
_atom_site_fract_x
_atom_site_fract_y
_atom_site_fract_z
Dy1 0.2500 0.6807 0.9470
Dy2 0.7500 0.3193 0.0530
In1 0.2500 0.6746 0.4598
In2 0.7500 0.3254 0.5402
S1 0.2500 0.0131 0.7885
S2 0.7500 0.9869 0.2115
O1 0.7500 0.5465 0.3950
O2 0.2500 0.4535 0.6050
O3 0.7500 0.4988 0.8670
O4 0.2500 0.5012 0.1330